{"formula": "CaGa2MoPt", "functional": "GGA-PBE", "state": "relaxed", "lattice": [[-0.100, -4.164, -2.803], [0.807, -2.650, 3.909], [-4.948, -0.390, 0.757]], "species": ["Ca", "Pt", "Ga", "Ga", "Mo"], "frac_coords": [[0.000, 0.000, 0.000], [0.000, 0.500, 0.000], [0.000, 0.000, 0.500], [0.500, 0.000, 0.000], [0.500, 0.500, 0.500]], "final_energy_ev_per_atom": -3.340, "formation_energy_mev_per_atom": 1646, "rho_g_cm3": 6.47}